Model one:
An optimized crystal structure of NaInP2S. Source: Alexandria via LeMat-Bulk, functional PBE.

Geometry as POSCAR:
```
NaInP2S
1.0
5.105 0.000 0.000
0.000 5.105 0.000
0.000 0.000 5.247
In S P Na
1 1 2 1
Direct
0.000 0.000 0.000
0.000 0.000 0.500
0.500 0.000 0.000
0.000 0.500 0.000
0.500 0.500 0.500
```

Properties
M_tot, μB per formula unit: 1.66

Model two:
An optimized crystal structure of NaInP2S. Source: Alexandria via LeMat-Bulk, functional PBE.

Geometry as POSCAR:
```
NaInP2S
1.0
-4.136 1.428 2.395
2.393 -0.383 4.360
1.400 4.658 -0.359
P In Na S
2 1 1 1
Direct
0.500 0.000 0.000
0.000 0.500 0.000
0.500 0.500 0.500
0.000 0.000 0.000
0.000 0.000 0.500
```

Properties
M_tot, μB per formula unit: 0.76

model one has the most favorable energy; the next structure is 488 meV per atom above.

Model one:
An optimized crystal structure of NaSrInP2. Source: Alexandria via LeMat-Bulk, functional PBE.

Geometry as POSCAR:
```
NaSrInP2
1.0
5.143 0.000 0.000
0.000 5.123 0.000
0.000 0.000 5.143
P In Sr Na
2 1 1 1
Direct
0.500 0.000 0.000
0.000 0.000 0.500
0.000 0.500 0.000
0.500 0.500 0.500
0.000 0.000 0.000
```

Properties
M_tot, μB per formula unit: 0.00

Model two:
An optimized crystal structure of NaSrInP2. Source: Alexandria via LeMat-Bulk, functional PBE.

Geometry as POSCAR:
```
NaSrInP2
1.0
4.352 0.000 0.000
-2.176 7.022 0.118
0.000 -1.566 8.970
P In Sr Na
4 2 2 2
Direct
0.359 0.718 0.666
0.117 0.234 0.886
0.883 0.766 0.114
0.641 0.282 0.334
0.937 0.875 0.807
0.063 0.125 0.193
0.330 0.659 0.332
0.670 0.341 0.668
0.319 0.639 0.951
0.681 0.361 0.049
```

Properties
M_tot, μB per formula unit: 0.00

model two has the most favorable energy; the next structure is 744 meV per atom above.

Model one:
An optimized crystal structure of NaIn2Pb4. Source: Alexandria via LeMat-Bulk, functional PBE.

Geometry as POSCAR:
```
NaIn2Pb4
1.0
-0.698 -3.178 -1.160
-0.507 -1.850 5.375
-10.159 3.275 -2.862
In Pb Na
2 4 1
Direct
0.500 0.930 0.859
0.500 0.070 0.141
0.000 0.207 0.413
0.500 0.646 0.293
0.500 0.354 0.707
0.000 0.793 0.587
0.000 0.500 0.000
```

Properties
M_tot, μB per formula unit: 0.00

Model two:
An optimized crystal structure of NaIn2Pb4. Source: Alexandria via LeMat-Bulk, functional PBE.

Geometry as POSCAR:
```
NaIn2Pb4
1.0
6.630 1.194 0.000
-2.207 6.364 0.000
0.000 0.000 9.582
Pb Na In
8 2 4
Direct
0.500 0.000 0.749
0.000 0.500 0.751
0.500 0.000 0.251
0.802 0.803 0.500
0.197 0.198 0.000
0.803 0.802 0.000
0.000 0.500 0.249
0.198 0.197 0.500
0.500 0.500 0.250
0.500 0.500 0.750
0.269 0.727 0.500
0.731 0.273 0.500
0.273 0.731 0.000
0.727 0.269 0.000
```

Properties
M_tot, μB per formula unit: 0.00

model one has the most favorable energy; the next structure is 14 meV per atom above.

Model one:
An optimized crystal structure of Na8InPb2. Source: Alexandria via LeMat-Bulk, functional PBE.

Geometry as POSCAR:
```
Na8InPb2
1.0
5.641 0.650 -1.209
-1.884 6.240 -3.203
-0.834 0.448 9.174
In Pb Na
1 2 8
Direct
0.500 0.000 0.000
0.318 0.318 0.635
0.682 0.682 0.365
0.178 0.352 0.258
0.294 0.794 0.589
0.712 0.407 0.000
0.706 0.206 0.411
0.080 0.906 0.258
0.920 0.094 0.742
0.822 0.648 0.742
0.288 0.593 0.000
```

Properties
M_tot, μB per formula unit: 0.00

Model two:
An optimized crystal structure of Na8InPb2. Source: Alexandria via LeMat-Bulk, functional PBE.

Geometry as POSCAR:
```
Na8InPb2
1.0
5.971 -1.266 -1.052
-1.493 8.842 1.019
-1.493 2.618 8.507
Na Pb In
8 2 1
Direct
0.303 0.824 0.420
0.714 0.142 0.142
0.697 0.176 0.580
0.196 0.402 0.402
0.697 0.580 0.176
0.804 0.598 0.598
0.286 0.858 0.858
0.303 0.420 0.824
0.708 0.787 0.787
0.292 0.213 0.213
0.000 0.000 0.000
```

Properties
M_tot, μB per formula unit: 0.00

model one has the most favorable energy; the next structure is 11 meV per atom above.